FeP3F | Alexandria via LeMat-Bulk | PBE with a Hubbard U | relaxed; size of the total moment = 3.90 μB/cell; space-group type = No. 221; ΔE to the lowest computed polymorph = 0.297 eV per atom
1.0
-1.578 -4.012 -0.275
3.922 -1.601 0.846
-0.888 0.060 4.228
P Fe F
3 1 1
direct
0.000 0.500 0.000
0.000 0.000 0.500
0.500 0.000 0.000
0.500 0.500 0.500
0.000 0.000 0.000